1.
# PmGdLu (PBE, optimized geometry)
data_PmGdLu
_chemical_formula_sum 'Pm2 Gd2 Lu2'
_cell_length_a 4.127
_cell_length_b 4.127
_cell_length_c 11.437
_cell_angle_alpha 90.00
_cell_angle_beta 90.00
_cell_angle_gamma 90.00
_space_group_name_H-M_alt 'I 4 m m'
_space_group_IT_number 107
_space_group_name_Hall 'I 4 -2'
loop_
_atom_site_label
_atom_site_fract_x
_atom_site_fract_y
_atom_site_fract_z
Pm1 0.000 0.000 0.000
Gd1 0.000 0.000 0.321
Lu1 0.000 0.000 0.665
# **Calculated total energy**: -7.692 eV per atom
# **Crystal system**: tetragonal
# **DOS(E_F)**: 1.713 states/eV/atom



2.
# LiCaBe4 (PBE, optimized geometry)
data_LiCaBe4
_chemical_formula_sum 'Li4 Ca4 Be16'
_cell_length_a 6.816
_cell_length_b 6.816
_cell_length_c 6.816
_cell_angle_alpha 90.00
_cell_angle_beta 90.00
_cell_angle_gamma 90.00
_space_group_name_H-M_alt 'F -4 3 m'
_space_group_IT_number 216
_space_group_name_Hall 'F -4 2 3'
loop_
_atom_site_label
_atom_site_fract_x
_atom_site_fract_y
_atom_site_fract_z
Li1 0.000 0.000 0.000
Ca1 0.250 0.250 0.750
Be1 0.130 0.130 0.370
# **Calculated total energy**: -2.884 eV per atom
# **Crystal system**: cubic
# **DOS(E_F)**: 0.444 states/eV/atom



3.
# ScGaSb (PBE, optimized geometry)
data_ScGaSb
_chemical_formula_sum 'Sc2 Ga2 Sb2'
_cell_length_a 3.797
_cell_length_b 3.797
_cell_length_c 9.177
_cell_angle_alpha 90.00
_cell_angle_beta 90.00
_cell_angle_gamma 90.00
_space_group_name_H-M_alt 'I 4 m m'
_space_group_IT_number 107
_space_group_name_Hall 'I 4 -2'
loop_
_atom_site_label
_atom_site_fract_x
_atom_site_fract_y
_atom_site_fract_z
Sc1 0.000 0.000 0.000
Ga1 0.000 0.000 0.336
Sb1 0.000 0.000 0.657
# **Uncorrected formation energy**: -0.39 eV/atom
# **Crystal system**: tetragonal
# **DOS(E_F)**: 1.002 states/eV/atom



4.
# Ta2Mo3W (PBE, optimized geometry)
data_Ta2Mo3W
_chemical_formula_sum 'Ta8 Mo12 W4'
_cell_length_a 8.239
_cell_length_b 9.907
_cell_length_c 5.077
_cell_angle_alpha 90.00
_cell_angle_beta 90.00
_cell_angle_gamma 90.00
_space_group_name_H-M_alt 'C m c m'
_space_group_IT_number 63
_space_group_name_Hall '-C 2c 2'
loop_
_atom_site_label
_atom_site_fract_x
_atom_site_fract_y
_atom_site_fract_z
Ta1 0.164 0.229 0.250
Mo1 0.000 0.314 0.750
Mo2 0.185 0.500 0.000
W1 0.000 0.054 0.750
# **Calculated total energy**: -11.220 eV per atom
# **Crystal system**: orthorhombic
# **DOS(E_F)**: 0.928 states/eV/atom



5.
# LaCdIn2Rh (PBE, optimized geometry)
data_LaCdIn2Rh
_chemical_formula_sum 'La1 Cd1 In2 Rh1'
_cell_length_a 5.231
_cell_length_b 5.231
_cell_length_c 5.274
_cell_angle_alpha 90.00
_cell_angle_beta 90.00
_cell_angle_gamma 90.00
_space_group_name_H-M_alt 'P 4/m m m'
_space_group_IT_number 123
_space_group_name_Hall '-P 4 2'
loop_
_atom_site_label
_atom_site_fract_x
_atom_site_fract_y
_atom_site_fract_z
La1 0.000 0.000 0.000
Cd1 0.500 0.500 0.000
In1 0.000 0.500 0.500
Rh1 0.000 0.000 0.500
# **Calculated total energy**: -4.129 eV per atom
# **Crystal system**: tetragonal
# **DOS(E_F)**: 0.471 states/eV/atom